(1)
DFT (PBE) results for Li2SiCl after structural relaxation.

Cell: 5.020 5.020 5.020 Å, 130.87 130.87 72.01°
Atoms (fractional coordinates):
Li 0.250 0.750 0.500
Li 0.750 0.250 0.500
Si 0.000 0.000 0.000
Cl 0.500 0.500 0.000

Computed properties:
E_form (uncorrected), eV/atom: -0.181
Calculated total energy, eV per atom: -2.955
SG: I4/mmm (139)


(2)
DFT (PBE) results for HgIrF3 after structural relaxation.

Cell: 4.251 4.251 4.251 Å, 90.00 90.00 90.00°
Atoms (fractional coordinates):
Hg 0.000 0.000 0.000
Ir 0.500 0.500 0.500
F 0.000 0.500 0.500
F 0.500 0.000 0.500
F 0.500 0.500 0.000

Computed properties:
E_form (uncorrected), eV/atom: -0.641
Calculated total energy, eV per atom: -3.597
SG: Pm-3m (221)


(3)
DFT (PBE) results for CsSn2BiI8 after structural relaxation.

Cell: 7.786 8.155 10.511 Å, 75.68 81.24 80.13°
Atoms (fractional coordinates):
Cs 0.000 0.000 0.000
Sn 0.463 0.446 0.234
Sn 0.537 0.554 0.766
Bi 0.000 0.000 0.500
I 0.151 0.723 0.738
I 0.229 0.796 0.307
I 0.295 0.220 0.486
I 0.388 0.273 0.035
I 0.612 0.727 0.965
I 0.705 0.780 0.514
I 0.771 0.204 0.693
I 0.849 0.277 0.262

Computed properties:
E_form (uncorrected), eV/atom: -0.611
Calculated total energy, eV per atom: -2.706
SG: P-1 (2)


(4)
DFT (PBE) results for ReP2Br after structural relaxation.

Cell: 6.014 6.014 6.014 Å, 151.52 130.81 57.82°
Atoms (fractional coordinates):
Re 0.000 0.000 0.000
P 0.180 0.680 0.500
P 0.820 0.320 0.500
Br 0.500 0.500 0.000

Computed properties:
E_form (uncorrected), eV/atom: 0.663
Calculated total energy, eV per atom: -5.572
SG: Immm (71)


(5)
DFT (PBE) results for Cs2ReAuS after structural relaxation.

Cell: 6.947 6.947 4.421 Å, 90.00 90.00 90.00°
Atoms (fractional coordinates):
Cs 0.000 0.500 0.000
Cs 0.500 0.000 0.000
Re 0.000 0.000 0.500
Au 0.500 0.500 0.500
S 0.000 0.000 0.000

Computed properties:
E_form (uncorrected), eV/atom: 0.276
Calculated total energy, eV per atom: -4.036
SG: P4/mmm (123)


(6)
DFT (PBE) results for HfAlPO2 after structural relaxation.

Cell: 3.962 3.962 5.497 Å, 90.00 90.00 90.00°
Atoms (fractional coordinates):
Hf 0.000 0.000 0.000
Al 0.500 0.500 0.500
P 0.000 0.000 0.500
O 0.000 0.500 0.000
O 0.500 0.000 0.000

Computed properties:
E_form (uncorrected), eV/atom: -1.504
Calculated total energy, eV per atom: -7.308
SG: P4/mmm (123)


(7)
DFT (PBE) results for Pr2TmHg6 after structural relaxation.

Cell: 9.452 9.452 5.519 Å, 97.72 97.72 78.20°
Atoms (fractional coordinates):
Pr 0.041 0.293 0.083
Pr 0.293 0.041 0.583
Pr 0.707 0.959 0.417
Pr 0.959 0.707 0.917
Tm 0.378 0.622 0.750
Tm 0.622 0.378 0.250
Hg 0.076 0.812 0.470
Hg 0.161 0.408 0.638
Hg 0.188 0.924 0.030
Hg 0.272 0.515 0.196
Hg 0.408 0.161 0.138
Hg 0.485 0.728 0.304
Hg 0.515 0.272 0.696
Hg 0.592 0.839 0.862
Hg 0.728 0.485 0.804
Hg 0.812 0.076 0.970
Hg 0.839 0.592 0.362
Hg 0.924 0.188 0.530

Computed properties:
Calculated total energy, eV per atom: -2.159
SG: C2/c (15)


(8)
DFT (PBE) results for KTaSe3 after structural relaxation.

Cell: 7.412 6.757 14.658 Å, 90.00 119.19 90.00°
Atoms (fractional coordinates):
K 0.054 0.243 0.148
K 0.054 0.257 0.648
K 0.946 0.743 0.352
K 0.946 0.757 0.852
Ta 0.393 0.249 0.477
Ta 0.393 0.251 0.977
Ta 0.607 0.749 0.023
Ta 0.607 0.751 0.523
Se 0.027 0.245 0.403
Se 0.027 0.255 0.903
Se 0.433 0.523 0.366
Se 0.433 0.977 0.866
Se 0.497 0.518 0.121
Se 0.497 0.982 0.621
Se 0.503 0.018 0.379
Se 0.503 0.482 0.879
Se 0.567 0.023 0.134
Se 0.567 0.477 0.634
Se 0.973 0.745 0.097
Se 0.973 0.755 0.597

Computed properties:
E_form (uncorrected), eV/atom: -0.931
Calculated total energy, eV per atom: -5.612
SG: P2_1/c (14)


(9)
DFT (PBE) results for Li2PrTmAu4 after structural relaxation.

Cell: 9.490 9.490 9.490 Å, 28.15 28.15 28.15°
Atoms (fractional coordinates):
Li 0.244 0.244 0.244
Li 0.756 0.756 0.756
Pr 0.000 0.000 0.000
Tm 0.500 0.500 0.500
Au 0.117 0.117 0.117
Au 0.393 0.393 0.393
Au 0.607 0.607 0.607
Au 0.883 0.883 0.883

Computed properties:
Calculated total energy, eV per atom: -3.979
SG: R-3m (166)


(10)
DFT (PBE) results for BaCaZnS3 after structural relaxation.

Cell: 7.183 7.183 10.704 Å, 90.00 90.00 146.81°
Atoms (fractional coordinates):
Ba 0.248 0.752 0.750
Ba 0.752 0.248 0.250
Ca 0.500 0.500 0.000
Ca 0.500 0.500 0.500
Zn 0.033 0.967 0.250
Zn 0.967 0.033 0.750
S 0.132 0.868 0.074
S 0.132 0.868 0.426
S 0.433 0.567 0.250
S 0.567 0.433 0.750
S 0.868 0.132 0.574
S 0.868 0.132 0.926

Computed properties:
E_form (uncorrected), eV/atom: -1.663
Calculated total energy, eV per atom: -4.593
SG: Cmcm (63)


(11)
DFT (PBE) results for BaSc3Sb after structural relaxation.

Cell: 5.582 5.582 5.582 Å, 90.00 90.00 90.00°
Atoms (fractional coordinates):
Ba 0.000 0.000 0.000
Sc 0.000 0.500 0.500
Sc 0.500 0.000 0.500
Sc 0.500 0.500 0.000
Sb 0.500 0.500 0.500

Computed properties:
E_form (uncorrected), eV/atom: 0.093
Calculated total energy, eV per atom: -4.915
SG: Pm-3m (221)


(12)
DFT (PBE) results for ZnNi2Rh2 after structural relaxation.

Cell: 7.061 7.061 2.759 Å, 90.00 90.00 90.00°
Atoms (fractional coordinates):
Zn 0.000 0.000 0.000
Zn 0.500 0.500 0.000
Ni 0.163 0.337 0.500
Ni 0.337 0.837 0.500
Ni 0.663 0.163 0.500
Ni 0.837 0.663 0.500
Rh 0.135 0.635 0.000
Rh 0.365 0.135 0.000
Rh 0.635 0.865 0.000
Rh 0.865 0.365 0.000

Computed properties:
Calculated total energy, eV per atom: -5.370
SG: P4/mbm (127)


(13)
DFT (PBE) results for ZrSc5 after structural relaxation.

Cell: 5.151 8.731 8.731 Å, 21.66 90.00 90.00°
Atoms (fractional coordinates):
Zr 0.000 0.000 0.000
Sc 0.000 0.338 0.338
Sc 0.000 0.666 0.666
Sc 0.500 0.112 0.112
Sc 0.500 0.447 0.447
Sc 0.500 0.778 0.778

Computed properties:
Calculated total energy, eV per atom: -6.709
SG: Amm2 (38)


(14)
DFT (PBE) results for K2HSe2 after structural relaxation.

Cell: 7.984 7.984 4.649 Å, 90.00 90.00 90.00°
Atoms (fractional coordinates):
K 0.188 0.312 0.000
K 0.312 0.812 0.000
K 0.688 0.188 0.000
K 0.812 0.688 0.000
H 0.000 0.000 0.500
H 0.500 0.500 0.500
Se 0.105 0.605 0.500
Se 0.395 0.105 0.500
Se 0.605 0.895 0.500
Se 0.895 0.395 0.500

Computed properties:
Calculated total energy, eV per atom: -2.823
SG: P4/mbm (127)


(15)
DFT (PBE) results for Sr4DyPa3As8 after structural relaxation.

Cell: 8.651 8.651 8.651 Å, 58.87 58.87 58.87°
Atoms (fractional coordinates):
Sr 0.000 0.000 0.000
Sr 0.000 0.500 0.500
Sr 0.500 0.000 0.500
Sr 0.500 0.500 0.000
Dy 0.500 0.500 0.500
Pa 0.000 0.000 0.500
Pa 0.000 0.500 0.000
Pa 0.500 0.000 0.000
As 0.233 0.742 0.742
As 0.239 0.239 0.239
As 0.258 0.258 0.767
As 0.258 0.767 0.258
As 0.742 0.233 0.742
As 0.742 0.742 0.233
As 0.761 0.761 0.761
As 0.767 0.258 0.258

Computed properties:
Calculated total energy, eV per atom: -6.022
SG: R-3m (166)


(16)
DFT (PBE) results for Pr5ErAu6 after structural relaxation.

Cell: 9.098 9.098 5.253 Å, 106.62 106.62 48.13°
Atoms (fractional coordinates):
Pr 0.000 0.000 0.000
Pr 0.164 0.164 0.665
Pr 0.330 0.330 0.330
Pr 0.670 0.670 0.670
Pr 0.836 0.836 0.335
Er 0.500 0.500 0.000
Au 0.103 0.578 0.841
Au 0.274 0.726 0.500
Au 0.422 0.897 0.159
Au 0.578 0.103 0.841
Au 0.726 0.274 0.500
Au 0.897 0.422 0.159

Computed properties:
Calculated total energy, eV per atom: -4.775
SG: C2/m (12)


(17)
DFT (PBE) results for Cs2CdSnCl6 after structural relaxation.

Cell: 7.743 7.743 7.743 Å, 60.00 60.00 60.00°
Atoms (fractional coordinates):
Cs 0.250 0.250 0.250
Cs 0.750 0.750 0.750
Cd 0.000 0.000 0.000
Sn 0.500 0.500 0.500
Cl 0.243 0.243 0.757
Cl 0.243 0.757 0.243
Cl 0.243 0.757 0.757
Cl 0.757 0.243 0.243
Cl 0.757 0.243 0.757
Cl 0.757 0.757 0.243

Computed properties:
E_form (uncorrected), eV/atom: -1.464
Calculated total energy, eV per atom: -3.235
SG: Fm-3m (225)


(18)
DFT (PBE) results for Zn2TcOs after structural relaxation.

Cell: 4.295 4.295 4.295 Å, 60.00 60.00 60.00°
Atoms (fractional coordinates):
Zn 0.250 0.250 0.250
Zn 0.750 0.750 0.750
Tc 0.000 0.000 0.000
Os 0.500 0.500 0.500

Computed properties:
Calculated total energy, eV per atom: -5.641
SG: Fm-3m (225)


(19)
DFT (PBE) results for TmScCoNi after structural relaxation.

Cell: 3.216 3.216 6.499 Å, 90.00 90.00 90.00°
Atoms (fractional coordinates):
Tm 0.000 0.000 0.000
Sc 0.000 0.000 0.490
Co 0.500 0.500 0.262
Ni 0.500 0.500 0.729

Computed properties:
Calculated total energy, eV per atom: -6.308
SG: P4mm (99)


(20)
DFT (PBE) results for SrHgPd after structural relaxation.

Cell: 7.765 4.422 13.248 Å, 90.00 91.54 90.00°
Atoms (fractional coordinates):
Sr 0.031 0.250 0.124
Sr 0.162 0.250 0.422
Sr 0.462 0.750 0.791
Sr 0.538 0.250 0.209
Sr 0.838 0.750 0.578
Sr 0.969 0.750 0.876
Hg 0.128 0.250 0.705
Hg 0.347 0.750 0.045
Hg 0.494 0.750 0.410
Hg 0.506 0.250 0.590
Hg 0.653 0.250 0.955
Hg 0.872 0.750 0.295
Pd 0.239 0.750 0.251
Pd 0.260 0.750 0.588
Pd 0.262 0.250 0.916
Pd 0.738 0.750 0.084
Pd 0.740 0.250 0.412
Pd 0.761 0.250 0.749

Computed properties:
Calculated total energy, eV per atom: -2.977
SG: P2_1/m (11)


(21)
DFT (PBE) results for Cs2NaSr2 after structural relaxation.

Cell: 13.247 13.247 4.527 Å, 90.00 90.00 90.00°
Atoms (fractional coordinates):
Cs 0.183 0.317 0.000
Cs 0.317 0.817 0.000
Cs 0.683 0.183 0.000
Cs 0.817 0.683 0.000
Na 0.000 0.000 0.000
Na 0.500 0.500 0.000
Sr 0.110 0.610 0.500
Sr 0.390 0.110 0.500
Sr 0.610 0.890 0.500
Sr 0.890 0.390 0.500

Computed properties:
Calculated total energy, eV per atom: -0.975
SG: P4/mbm (127)


(22)
DFT (PBE) results for ZnH2Au2 after structural relaxation.

Cell: 7.188 7.188 3.505 Å, 90.00 90.00 90.00°
Atoms (fractional coordinates):
Zn 0.000 0.000 0.000
Zn 0.500 0.500 0.000
H 0.244 0.256 0.500
H 0.256 0.756 0.500
H 0.744 0.244 0.500
H 0.756 0.744 0.500
Au 0.244 0.256 0.000
Au 0.256 0.756 0.000
Au 0.744 0.244 0.000
Au 0.756 0.744 0.000

Computed properties:
Calculated total energy, eV per atom: -2.692
SG: P4/mbm (127)


(23)
DFT (PBE) results for KNaIF6 after structural relaxation.

Cell: 6.498 6.498 4.173 Å, 90.00 90.00 120.00°
Atoms (fractional coordinates):
K 0.000 0.000 0.000
Na 0.333 0.667 0.500
I 0.667 0.333 0.500
F 0.368 0.027 0.697
F 0.368 0.341 0.303
F 0.659 0.027 0.303
F 0.659 0.632 0.697
F 0.973 0.341 0.697
F 0.973 0.632 0.303

Computed properties:
E_form (uncorrected), eV/atom: -2.000
Calculated total energy, eV per atom: -3.688
SG: P312 (149)